First-principles (GGA-PBE) data for crystalline V2Ni4As at its relaxed geometry, as listed in Alexandria via LeMat-Bulk.

Properties
Final energy ... -5.869 eV per atom
Energy relative to the elements ... 704 meV per atom

Cell: 4.262 4.262 6.788 Å, 71.70 71.70 90.00°
Site moments in Bohr magnetons follow the coordinates.
Element x y z (fractional)
V 0.374 0.374 0.251  1.97
Ni 0.000 0.500 0.000  0.05
Ni 0.810 0.810 0.381  -0.12
V 0.626 0.626 0.749  1.97
Ni 0.500 0.000 0.000  0.05
Ni 0.190 0.190 0.619  -0.12
As 0.000 0.000 0.000  -0.01


First-principles (GGA-PBE) data for crystalline V4Ni12As at its relaxed geometry, as listed in Alexandria via LeMat-Bulk.

Properties
Final energy ... -6.502 eV per atom
Energy relative to the elements ... -2 meV per atom

Cell: 6.433 6.433 6.433 Å, 109.47 109.47 109.47°
Site moments in Bohr magnetons follow the coordinates.
Element x y z (fractional)
Ni 0.298 0.000 0.298  0.10
Ni 0.000 0.702 0.702  0.10
V 0.500 0.500 0.500  1.30
Ni 0.500 0.250 0.750  0.15
V 0.000 0.500 0.000  1.30
Ni 0.250 0.500 0.750  0.15
Ni 0.702 0.000 0.702  0.10
Ni 0.702 0.702 0.000  0.10
Ni 0.250 0.750 0.500  0.15
V 0.000 0.000 0.500  1.30
Ni 0.750 0.250 0.500  0.15
V 0.500 0.000 0.000  1.30
As 0.000 0.000 0.000  0.00
Ni 0.298 0.298 0.000  0.10
Ni 0.500 0.750 0.250  0.15
Ni 0.000 0.298 0.298  0.10
Ni 0.750 0.500 0.250  0.15


First-principles (GGA-PBE) data for crystalline VNi6As at its relaxed geometry, as listed in Alexandria via LeMat-Bulk.

Properties
Final energy ... -6.151 eV per atom
Energy relative to the elements ... -94 meV per atom

Cell: 3.574 3.574 7.668 Å, 76.52 76.52 90.00°
Site moments in Bohr magnetons follow the coordinates.
Element x y z (fractional)
Ni 0.629 0.129 0.742  0.25
Ni 0.371 0.871 0.258  0.25
Ni 0.250 0.250 0.501  0.46
Ni 0.750 0.750 0.499  0.46
Ni 0.871 0.371 0.258  0.25
As 0.500 0.500 0.000  0.01
Ni 0.129 0.629 0.742  0.25
V 0.000 0.000 0.000  -0.05


First-principles (GGA-PBE) data for crystalline VNi2As4 at its relaxed geometry, as listed in Alexandria via LeMat-Bulk.

Properties
Final energy ... -5.352 eV per atom
Energy relative to the elements ... 259 meV per atom

Cell: 4.766 4.766 6.695 Å, 69.15 69.15 90.00°
Element x y z (fractional)
Ni 0.398 0.398 0.204
As 0.793 0.793 0.414
As 0.500 0.000 0.000
As 0.207 0.207 0.586
As 0.000 0.500 0.000
Ni 0.602 0.602 0.796
V 0.000 0.000 0.000


First-principles (GGA-PBE) data for crystalline NiAs3W at its relaxed geometry, as listed in Alexandria via LeMat-Bulk.

Properties
ΔE to the lowest computed polymorph ... 0 meV/atom
Final energy ... -5.622 eV per atom
Energy relative to the elements ... 915 meV per atom

Cell: 4.854 4.854 4.854 Å, 90.00 90.00 90.00°
Element x y z (fractional)
W 0.000 0.000 0.000
As 0.500 0.000 0.000
As 0.000 0.000 0.500
Ni 0.500 0.500 0.500
As 0.000 0.500 0.000


First-principles (GGA-PBE) data for crystalline Ni4AsW at its relaxed geometry, as listed in Alexandria via LeMat-Bulk.

Properties
Final energy ... -6.577 eV per atom
Energy relative to the elements ... 211 meV per atom

Cell: 4.736 4.736 4.736 Å, 60.00 60.00 60.00°
Site moments in Bohr magnetons follow the coordinates.
Element x y z (fractional)
Ni 0.127 0.624 0.624  0.17
As 0.000 0.000 0.000  0.03
Ni 0.624 0.127 0.624  0.17
W 0.250 0.250 0.250  0.12
Ni 0.624 0.624 0.127  0.17
Ni 0.624 0.624 0.624  0.17


- Which value of energy relative to the elements does entry 1 give?
  704 meV per atom


- Which formula does entry 5 have?
  NiAs3W